[1]
Entry from Alexandria: an optimized crystal structure of Pa2CdCu (PBE).

- Spin magnetization: 0.0002 μB per atom
- Space group: No. 123
- N(E_F): 6.36 states/eV/f.u.
- Energy above the lowest structure with this stoichiometry: 0.000 eV per atom
- Formation energy from the elements: 0.101 eV/atom

a = 3.059 Å, b = 3.059 Å, c = 9.175 Å
α = 90.00°, β = 90.00°, γ = 90.00°
Positions (direct):
1 Cd 0.500 0.500 0.500
2 Pa 0.000 0.000 0.223
3 Pa 0.000 0.000 0.777
4 Cu 0.500 0.500 0.000


[2]
Entry from Alexandria: an optimized crystal structure of PaCdCuRh (PBE).

- Spin magnetization: 0.0000 μB per atom
- Space group: No. 216
- N(E_F): 3.38 states/eV/f.u.
- Formation energy from the elements: -0.211 eV/atom

a = 4.751 Å, b = 4.751 Å, c = 4.751 Å
α = 60.00°, β = 60.00°, γ = 60.00°
Positions (direct):
1 Cd 0.750 0.750 0.750
2 Rh 0.000 0.000 0.000
3 Pa 0.250 0.250 0.250
4 Cu 0.500 0.500 0.500


[3]
Entry from Alexandria: an optimized crystal structure of PaCdCuRu (PBE).

- Spin magnetization: 0.0000 μB per atom
- Space group: No. 216
- N(E_F): 4.29 states/eV/f.u.
- Formation energy from the elements: 0.002 eV/atom

a = 4.734 Å, b = 4.734 Å, c = 4.734 Å
α = 60.00°, β = 60.00°, γ = 60.00°
Positions (direct):
1 Ru 0.750 0.750 0.750
2 Pa 0.000 0.000 0.000
3 Cd 0.500 0.500 0.500
4 Cu 0.250 0.250 0.250


[4]
Entry from Alexandria: an optimized crystal structure of PaZnCdCu (PBE).

- Spin magnetization: 0.0005 μB per atom
- Space group: No. 216
- N(E_F): 3.88 states/eV/f.u.
- Formation energy from the elements: 0.024 eV/atom

a = 4.780 Å, b = 4.780 Å, c = 4.780 Å
α = 60.00°, β = 60.00°, γ = 60.00°
Positions (direct):
1 Pa 0.500 0.500 0.500
2 Cd 0.000 0.000 0.000
3 Zn 0.750 0.750 0.750
4 Cu 0.250 0.250 0.250


[5]
Entry from Alexandria: an optimized crystal structure of CdCuPb2 (PBE).

- Spin magnetization: 0.0000 μB per atom
- Space group: No. 123
- N(E_F): 1.16 states/eV/f.u.
- Formation energy from the elements: 0.158 eV/atom

a = 3.351 Å, b = 3.351 Å, c = 8.901 Å
α = 90.00°, β = 90.00°, γ = 90.00°
Positions (direct):
1 Cd 0.500 0.500 0.250
2 Pb 0.000 0.000 0.545
3 Pb 0.000 0.000 0.955
4 Cu 0.500 0.500 0.750


[6]
Entry from Alexandria: an optimized crystal structure of CdCuPb (PBE).

- Spin magnetization: 0.0000 μB per atom
- Space group: No. 107
- N(E_F): 1.08 states/eV/f.u.
- Energy above the lowest structure with this stoichiometry: 0.041 eV per atom
- Formation energy from the elements: 0.151 eV/atom

a = 6.398 Å, b = 6.398 Å, c = 3.325 Å
α = 74.93°, β = 74.94°, γ = 30.12°
Positions (direct):
1 Cu 0.345 0.345 0.655
2 Cd 0.971 0.971 0.029
3 Pb 0.685 0.685 0.315